# 1
The following is a DFT calculation (PBE-GGA) of a geometry-optimized Fe10Pt6Rh structure.

Output
E (eV/atom): -7.576

Cell: 5.150 7.385 7.385 Å, 120.00 90.00 90.00°
Site moments in Bohr magnetons follow the coordinates.
Atoms (fractional coordinates):
1 Fe 0.816 0.700 0.700  3.04
2 Fe 0.816 0.000 0.300  3.04
3 Fe 0.816 0.300 0.000  3.04
4 Fe 0.184 0.300 0.300  3.04
5 Fe 0.184 0.000 0.700  3.04
6 Fe 0.184 0.700 0.000  3.04
7 Fe 0.500 0.333 0.667  2.85
8 Fe 0.500 0.667 0.333  2.85
9 Fe 0.000 0.667 0.333  2.82
10 Fe 0.000 0.333 0.667  2.82
11 Pt 0.699 0.360 0.360  0.42
12 Pt 0.699 0.000 0.640  0.42
13 Pt 0.699 0.640 0.000  0.42
14 Pt 0.301 0.640 0.640  0.42
15 Pt 0.301 0.000 0.360  0.42
16 Pt 0.301 0.360 0.000  0.42
17 Rh 0.500 0.000 0.000  0.61


# 2
The following is a DFT calculation (PBE-GGA) of a geometry-optimized FePtRh2 structure.

Output
E (eV/atom): -7.330

Cell: 8.848 8.848 8.848 Å, 17.79 17.79 17.79°
Site moments in Bohr magnetons follow the coordinates.
Atoms (fractional coordinates):
1 Fe 0.250 0.250 0.250  2.71
2 Pt 0.750 0.750 0.750  -0.08
3 Rh 0.994 0.994 0.994  0.20
4 Rh 0.506 0.506 0.506  0.20


# 3
The following is a DFT calculation (PBE-GGA) of a geometry-optimized Fe2Pt3Rh7 structure.

Output
E (eV/atom): -7.162

Cell: 2.709 4.881 15.538 Å, 122.07 90.00 90.00°
Site moments in Bohr magnetons follow the coordinates.
Atoms (fractional coordinates):
1 Fe 0.500 0.709 0.328  -2.97
2 Fe 0.500 0.291 0.672  -2.97
3 Pt 0.000 0.767 0.661  -0.22
4 Pt 0.000 0.233 0.339  -0.22
5 Pt 0.500 0.500 0.000  0.13
6 Rh 0.500 0.880 0.831  -0.09
7 Rh 0.500 0.120 0.169  -0.09
8 Rh 0.500 0.756 0.503  -0.30
9 Rh 0.500 0.244 0.497  -0.30
10 Rh 0.000 0.000 0.000  0.07
11 Rh 0.000 0.381 0.828  -0.11
12 Rh 0.000 0.619 0.172  -0.11


# 4
The following is a DFT calculation (PBE-GGA) of a geometry-optimized Fe2PtRh4 structure.

Output
E (eV/atom): -7.400

Cell: 2.678 4.100 9.472 Å, 102.51 98.11 89.99°
Site moments in Bohr magnetons follow the coordinates.
Atoms (fractional coordinates):
1 Rh 0.141 0.141 0.282  0.22
2 Rh 0.859 0.859 0.718  0.22
3 Rh 0.776 0.276 0.552  0.03
4 Rh 0.224 0.724 0.448  0.03
5 Fe 0.577 0.577 0.154  3.01
6 Fe 0.423 0.423 0.846  3.01
7 Pt 0.000 0.000 0.000  0.24


# 5
The following is a DFT calculation (PBE-GGA) of a geometry-optimized Fe2PtRh2 structure.

Output
E (eV/atom): -7.240

Cell: 7.118 7.118 2.659 Å, 90.00 90.00 90.00°
Atoms (fractional coordinates):
1 Rh 0.371 0.871 0.000
2 Rh 0.871 0.629 0.000
3 Rh 0.629 0.129 0.000
4 Rh 0.129 0.371 0.000
5 Fe 0.168 0.668 0.500
6 Fe 0.668 0.832 0.500
7 Fe 0.832 0.332 0.500
8 Fe 0.332 0.168 0.500
9 Pt 0.000 0.000 0.000
10 Pt 0.500 0.500 0.000


# 6
The following is a DFT calculation (PBE-GGA) of a geometry-optimized FePt6Rh structure.

Output
Offset from the most stable computed form (eV per formula unit): 0.00

Cell: 3.886 5.584 5.584 Å, 90.01 90.00 90.00°
Site moments in Bohr magnetons follow the coordinates.
Atoms (fractional coordinates):
1 Fe 0.500 0.000 0.000  3.22
2 Pt 0.000 0.753 0.247  0.04
3 Pt 0.000 0.247 0.753  0.04
4 Pt 0.000 0.753 0.753  0.04
5 Pt 0.000 0.247 0.247  0.04
6 Pt 0.500 0.500 0.000  0.06
7 Pt 0.500 0.000 0.500  0.06
8 Rh 0.500 0.500 0.500  -0.67


| no. | density of states at the Fermi level (states/eV per cell) |
| --- | --- |
| 1 | 15.2 |
| 2 | 6.5 |
| 3 | 17.7 |
| 4 | 9.3 |
| 5 | 22.8 |
| 6 | 12.5 |